# 1
Computed, not measured: crystalline TaZn2Cl at its relaxed geometry at the PBE level of DFT.

Cell lengths 3.9309, 3.9309, 8.7982 Å; angles 90.00, 90.00, 90.00 degrees
Element x y z (fractional)
1 Ta 0.0000 0.0000 0.0000
2 Ta 0.5000 0.5000 0.5000
3 Zn 0.0000 0.0000 0.5000
4 Zn 0.0000 0.5000 0.7500
5 Zn 0.5000 0.0000 0.2500
6 Zn 0.5000 0.5000 0.0000
7 Cl 0.0000 0.5000 0.2500
8 Cl 0.5000 0.0000 0.7500

Output
As for the space group: I-4m2, No. 119. The formation energy (no corrections) is 0.486 eV per atom. The density of states at the Fermi level is 7.86 states/eV/cell. As for the density: 8.48 g/cm³.


# 2
Computed, not measured: crystalline TaZnCl at its relaxed geometry at the PBE level of DFT.

Cell lengths 6.4493, 6.4493, 6.4493 Å; angles 90.00, 90.00, 90.00 degrees
Element x y z (fractional)
1 Ta 0.0000 0.0000 0.0000
2 Ta 0.0000 0.5000 0.5000
3 Ta 0.5000 0.0000 0.5000
4 Ta 0.5000 0.5000 0.0000
5 Zn 0.2500 0.2500 0.2500
6 Zn 0.2500 0.7500 0.7500
7 Zn 0.7500 0.2500 0.7500
8 Zn 0.7500 0.7500 0.2500
9 Cl 0.0000 0.0000 0.5000
10 Cl 0.0000 0.5000 0.0000
11 Cl 0.5000 0.0000 0.0000
12 Cl 0.5000 0.5000 0.5000

Output
As for the space group: F-43m, No. 216. The formation energy (no corrections) is 1.344 eV per atom. The density of states at the Fermi level is 14.19 states/eV/cell. As for the density: 6.98 g/cm³.


# 3
Computed, not measured: crystalline TaZnCl2 at its relaxed geometry at the PBE level of DFT.

Cell lengths 14.7711, 2.9832, 4.9233 Å; angles 90.00, 109.25, 90.00 degrees
Element x y z (fractional)
1 Ta 0.0000 0.0000 0.0000
2 Ta 0.5000 0.5000 0.0000
3 Zn 0.0000 0.5000 0.5000
4 Zn 0.5000 0.0000 0.5000
5 Cl 0.1435 0.5000 0.1434
6 Cl 0.3565 0.0000 0.8566
7 Cl 0.6435 0.0000 0.1434
8 Cl 0.8565 0.5000 0.8566

Output
As for the space group: C2/m, No. 12. The formation energy (no corrections) is -0.430 eV per atom. The density of states at the Fermi level is 2.40 states/eV/cell. As for the density: 5.14 g/cm³.


# 4
Computed, not measured: crystalline Zr3TaCl at its relaxed geometry at the PBE level of DFT.

Cell lengths 4.7715, 4.7715, 4.7715 Å; angles 90.00, 90.00, 90.00 degrees
Element x y z (fractional)
1 Zr 0.0000 0.0000 0.5000
2 Zr 0.0000 0.5000 0.0000
3 Zr 0.5000 0.0000 0.0000
4 Ta 0.5000 0.5000 0.5000
5 Cl 0.0000 0.0000 0.0000

Output
As for the space group: Pm-3m, No. 221. The formation energy (no corrections) is 0.166 eV per atom. The density of states at the Fermi level is 7.08 states/eV/cell. As for the density: 7.49 g/cm³.


# 5
Computed, not measured: crystalline Zr3TaCl at its relaxed geometry at the PBE level of DFT.

Cell lengths 5.2175, 5.2175, 5.2175 Å; angles 90.00, 90.00, 90.00 degrees
Element x y z (fractional)
1 Zr 0.0000 0.0000 0.5000
2 Zr 0.0000 0.5000 0.0000
3 Zr 0.5000 0.0000 0.0000
4 Ta 0.0000 0.0000 0.0000
5 Cl 0.5000 0.5000 0.5000

Output
As for the space group: Pm-3m, No. 221. The formation energy (no corrections) is 0.956 eV per atom. The density of states at the Fermi level is 7.45 states/eV/cell. As for the density: 5.73 g/cm³.


# 6
Computed, not measured: crystalline Zr4TaCl at its relaxed geometry at the PBE level of DFT.

Cell lengths 5.7795, 5.7795, 5.7795 Å; angles 60.00, 60.00, 60.00 degrees
Element x y z (fractional)
1 Zr 0.3785 0.3785 0.3785
2 Zr 0.3785 0.3785 0.8646
3 Zr 0.3785 0.8646 0.3785
4 Zr 0.8646 0.3785 0.3785
5 Ta 0.7500 0.7500 0.7500
6 Cl 0.0000 0.0000 0.0000

Output
As for the space group: F-43m, No. 216. The formation energy (no corrections) is 0.652 eV per atom. The density of states at the Fermi level is 6.83 states/eV/cell. As for the density: 7.07 g/cm³.


# 7
Computed, not measured: crystalline TbCl4 at its relaxed geometry at the PBE level of DFT.

Cell lengths 5.3212, 5.3212, 5.3212 Å; angles 90.00, 90.00, 90.00 degrees
Element x y z (fractional)
1 Tb 0.0000 0.0000 0.0000
2 Cl 0.0000 0.0000 0.5000
3 Cl 0.0000 0.5000 0.0000
4 Cl 0.5000 0.0000 0.0000
5 Cl 0.5000 0.5000 0.5000

Output
As for the space group: Pm-3m, No. 221. The formation energy (no corrections) is -1.499 eV per atom. The density of states at the Fermi level is 7.90 states/eV/cell. As for the density: 3.31 g/cm³.


# 8
Computed, not measured: crystalline TbCl5 at its relaxed geometry at the PBE level of DFT.

Cell lengths 4.0029, 5.3218, 11.5085 Å; angles 90.00, 92.15, 90.00 degrees
Element x y z (fractional)
1 Tb 0.0000 0.0000 0.0000
2 Cl 0.0011 0.5000 0.9997
3 Cl 0.4835 0.0000 0.8457
4 Cl 0.5166 0.0000 0.1544
5 Cl 0.5225 0.5000 0.5863
6 Cl 0.5533 0.5000 0.4139

Output
As for the space group: Pm, No. 6. The formation energy (no corrections) is -1.490 eV per atom. The density of states at the Fermi level is 0.00 states/eV/cell. As for the density: 2.28 g/cm³.


# 9
Computed, not measured: crystalline TbCl at its relaxed geometry at the PBE level of DFT.

Cell lengths 3.7698, 3.7698, 30.6697 Å; angles 90.00, 90.00, 120.00 degrees
Element x y z (fractional)
1 Tb 0.0000 0.0000 0.1210
2 Tb 0.0000 0.0000 0.8790
3 Tb 0.3333 0.6667 0.5457
4 Tb 0.3333 0.6667 0.7877
5 Tb 0.6667 0.3333 0.2123
6 Tb 0.6667 0.3333 0.4543
7 Cl 0.0000 0.0000 0.3976
8 Cl 0.0000 0.0000 0.6024
9 Cl 0.3333 0.6667 0.0643
10 Cl 0.3333 0.6667 0.2691
11 Cl 0.6667 0.3333 0.7309
12 Cl 0.6667 0.3333 0.9357

Output
As for the space group: R-3m, No. 166. The formation energy (no corrections) is -1.463 eV per atom. The density of states at the Fermi level is 5.82 states/eV/cell. As for the density: 5.13 g/cm³.


# 10
Computed, not measured: crystalline TbCl3 at its relaxed geometry at the PBE level of DFT.

Cell lengths 3.8240, 13.6702, 8.5886 Å; angles 90.00, 90.00, 90.00 degrees
Element x y z (fractional)
1 Tb 0.0000 0.2413 0.2500
2 Tb 0.0000 0.7587 0.7500
3 Tb 0.5000 0.2587 0.7500
4 Tb 0.5000 0.7413 0.2500
5 Cl 0.0000 0.1611 0.5686
6 Cl 0.0000 0.1611 0.9314
7 Cl 0.0000 0.3948 0.7500
8 Cl 0.0000 0.6052 0.2500
9 Cl 0.0000 0.8389 0.0686
10 Cl 0.0000 0.8389 0.4314
11 Cl 0.5000 0.1052 0.2500
12 Cl 0.5000 0.3389 0.0686
13 Cl 0.5000 0.3389 0.4314
14 Cl 0.5000 0.6611 0.5686
15 Cl 0.5000 0.6611 0.9314
16 Cl 0.5000 0.8948 0.7500

Output
As for the space group: Cmcm, No. 63. The formation energy (no corrections) is -2.262 eV per atom. The density of states at the Fermi level is 0.00 states/eV/cell. As for the density: 3.92 g/cm³.


# 11
Computed, not measured: crystalline TbCl at its relaxed geometry at the PBE level of DFT.

Cell lengths 3.6487, 3.6487, 8.4141 Å; angles 90.00, 90.00, 90.00 degrees
Element x y z (fractional)
1 Tb 0.2500 0.2500 0.1519
2 Tb 0.7500 0.7500 0.8481
3 Cl 0.2500 0.2500 0.6887
4 Cl 0.7500 0.7500 0.3113

Output
As for the space group: P4/nmm, No. 129. The formation energy (no corrections) is -1.378 eV per atom. The density of states at the Fermi level is 1.78 states/eV/cell. As for the density: 5.76 g/cm³.


# 12
Computed, not measured: crystalline TbCl3 at its relaxed geometry at the PBE level of DFT.

Cell lengths 6.5477, 6.5477, 11.8302 Å; angles 90.00, 90.00, 90.00 degrees
Element x y z (fractional)
1 Tb 0.0000 0.0000 0.1721
2 Tb 0.0000 0.0000 0.8279
3 Tb 0.5000 0.5000 0.3279
4 Tb 0.5000 0.5000 0.6721
5 Cl 0.1867 0.1867 0.0000
6 Cl 0.2109 0.2109 0.3256
7 Cl 0.2109 0.2109 0.6744
8 Cl 0.2891 0.7109 0.1744
9 Cl 0.2891 0.7109 0.8256
10 Cl 0.3133 0.6867 0.5000
11 Cl 0.6867 0.3133 0.5000
12 Cl 0.7109 0.2891 0.1744
13 Cl 0.7109 0.2891 0.8256
14 Cl 0.7891 0.7891 0.3256
15 Cl 0.7891 0.7891 0.6744
16 Cl 0.8133 0.8133 0.0000

Output
As for the space group: P4_2/mnm, No. 136. The formation energy (no corrections) is -2.266 eV per atom. The density of states at the Fermi level is 0.00 states/eV/cell. As for the density: 3.47 g/cm³.